Entry 1:
AgHgPt | GGA-PBE | optimized geometry

abc: 2.976 4.130 8.812
angles: 90.00 90.00 90.00
Element x y z (fractional)
Ag1 0.000 0.000 0.000
Ag2 0.500 0.500 0.500
Hg1 0.000 0.000 0.672
Hg2 0.500 0.500 0.172
Pt1 0.000 0.000 0.337
Pt2 0.500 0.500 0.837

Output
Density of states at the Fermi level ... 0.280 states/eV per atom
Magnetic moment ... 0.00 μB/atom
E above lowest polymorph ... 0 meV per atom
Energy of formation from the pure elements ... 33 meV per atom

---

Entry 2:
NaMnNi | GGA-PBE | optimized geometry

abc: 9.359 2.680 7.823
angles: 90.00 90.00 90.00
Element x y z (fractional)
Na1 0.065 0.250 0.169
Na2 0.435 0.750 0.669
Na3 0.565 0.250 0.331
Na4 0.935 0.750 0.831
Mn1 0.136 0.250 0.549
Mn2 0.364 0.750 0.049
Mn3 0.636 0.250 0.951
Mn4 0.864 0.750 0.451
Ni1 0.216 0.250 0.849
Ni2 0.284 0.750 0.349
Ni3 0.716 0.250 0.651
Ni4 0.784 0.750 0.151

Output
Density of states at the Fermi level ... 0.758 states/eV per atom
Magnetic moment ... 1.36 μB/atom
E above lowest polymorph ... 242 meV per atom
Energy of formation from the pure elements ... 476 meV per atom

---

Entry 3:
ReAgAu2 | GGA-PBE | optimized geometry

abc: 4.135 4.135 8.067
angles: 90.00 90.00 90.00
Element x y z (fractional)
Re1 0.000 0.000 0.000
Re2 0.500 0.500 0.500
Ag1 0.000 0.500 0.750
Ag2 0.500 0.000 0.250
Au1 0.000 0.000 0.500
Au2 0.000 0.500 0.250
Au3 0.500 0.000 0.750
Au4 0.500 0.500 0.000

Output
Density of states at the Fermi level ... 0.729 states/eV per atom
Magnetic moment ... 0.56 μB/atom
E above lowest polymorph ... 365 meV per atom
Energy of formation from the pure elements ... 697 meV per atom

---

Entry 4:
Cs2BO | GGA-PBE | optimized geometry

abc: 12.544 12.544 3.396
angles: 90.00 90.00 90.00
Element x y z (fractional)
Cs1 0.005 0.250 0.125
Cs2 0.250 0.505 0.375
Cs3 0.250 0.995 0.875
Cs4 0.495 0.250 0.625
Cs5 0.505 0.750 0.625
Cs6 0.750 0.005 0.875
Cs7 0.750 0.495 0.375
Cs8 0.995 0.750 0.125
B1 0.000 0.000 0.500
B2 0.000 0.500 0.750
B3 0.500 0.000 0.250
B4 0.500 0.500 0.000
O1 0.000 0.000 0.000
O2 0.000 0.500 0.250
O3 0.500 0.000 0.750
O4 0.500 0.500 0.500

Output
Density of states at the Fermi level ... 0.632 states/eV per atom
Magnetic moment ... 0.03 μB/atom
E above lowest polymorph ... 0 meV per atom

---

Entry 5:
In3GaNi4 | GGA-PBE | optimized geometry

abc: 4.997 8.413 6.666
angles: 90.00 90.00 90.00
Element x y z (fractional)
In1 0.000 0.000 0.000
In2 0.000 0.249 0.342
In3 0.000 0.751 0.342
In4 0.500 0.251 0.842
In5 0.500 0.500 0.500
In6 0.500 0.749 0.842
Ga1 0.000 0.500 0.814
Ga2 0.500 0.000 0.314
Ni1 0.000 0.233 0.730
Ni2 0.000 0.767 0.730
Ni3 0.248 0.500 0.130
Ni4 0.252 0.000 0.630
Ni5 0.500 0.267 0.230
Ni6 0.500 0.733 0.230
Ni7 0.748 0.000 0.630
Ni8 0.752 0.500 0.130

Output
Density of states at the Fermi level ... 0.609 states/eV per atom
Magnetic moment ... 0.00 μB/atom
Energy of formation from the pure elements ... 36 meV per atom

---

Entry 6:
Mn2TcP | GGA-PBE | optimized geometry

abc: 2.684 3.733 4.891
angles: 90.00 103.59 90.00
Element x y z (fractional)
Mn1 0.106 0.000 0.271
Mn2 0.894 0.000 0.729
Tc1 0.500 0.500 0.000
P1 0.500 0.500 0.500

Output
Density of states at the Fermi level ... 1.073 states/eV per atom
Magnetic moment ... 0.00 μB/atom
E above lowest polymorph ... 178 meV per atom
Energy of formation from the pure elements ... -78 meV per atom

---

Entry 7:
Tb3YGe2C | GGA-PBE | optimized geometry

abc: 4.702 4.724 15.294
angles: 90.00 90.00 90.00
Element x y z (fractional)
Tb1 0.000 0.000 0.000
Tb2 0.000 0.500 0.168
Tb3 0.000 0.500 0.832
Tb4 0.500 0.000 0.332
Tb5 0.500 0.000 0.668
Tb6 0.500 0.500 0.500
Y1 0.000 0.000 0.500
Y2 0.500 0.500 0.000
Ge1 0.000 0.500 0.363
Ge2 0.000 0.500 0.637
Ge3 0.500 0.000 0.137
Ge4 0.500 0.000 0.863
C1 0.000 0.500 0.000
C2 0.500 0.000 0.500

Output
Density of states at the Fermi level ... 0.126 states/eV per atom
Magnetic moment ... 0.00 μB/atom
Energy of formation from the pure elements ... -636 meV per atom

---

Entry 8:
MnCoCu2 | GGA-PBE | optimized geometry

abc: 8.393 2.621 4.486
angles: 90.00 100.93 90.00
Element x y z (fractional)
Mn1 0.000 0.000 0.000
Mn2 0.500 0.500 0.000
Co1 0.253 0.000 0.761
Co2 0.753 0.500 0.761
Cu1 0.005 0.500 0.506
Cu2 0.254 0.500 0.266
Cu3 0.505 0.000 0.506
Cu4 0.754 0.000 0.266

Output
Density of states at the Fermi level ... 0.714 states/eV per atom
Magnetic moment ... 1.24 μB/atom
Energy of formation from the pure elements ... 145 meV per atom